Record 1
Compound: CaNbHgPb2
Source: Alexandria
Functional: PBE
Structure: optimized geometry

Output
ΔE_f	0.193	eV/atom
final energy	-18.83	eV/cell

a b c (Å): 5.4680 5.4515 5.4680
angles (deg): 90.00 90.00 90.00
Atoms (fractional coordinates):
Pb: 0.0000 0.0000 0.5000
Pb: 0.5000 0.0000 0.0000
Nb: 0.0000 0.0000 0.0000
Ca: 0.5000 0.5000 0.5000
Hg: 0.0000 0.5000 0.0000

Record 2
Compound: TePtSe2
Source: Alexandria
Functional: PBE
Structure: optimized geometry

Output
final energy	-16.68	eV/cell
raw formation energy	-0.13	eV/atom

a b c (Å): 3.7917 5.0341 5.0344
angles (deg): 66.65 90.00 90.00
Atoms (fractional coordinates):
Pt: 0.5000 0.7500 0.7500
Se: 0.0000 0.9553 0.9554
Se: 0.0000 0.5447 0.5446
Te: 0.5000 0.2500 0.2500

Record 3
Compound: NiB
Source: Alexandria
Functional: PBE
Structure: optimized geometry

Output
ΔE_f	-0.145	eV/atom
final energy	-102.00	eV/cell

a b c (Å): 4.1822 4.0705 7.5788
angles (deg): 90.00 90.00 90.00
Atoms (fractional coordinates):
Ni: 0.8648 0.1018 0.4437
Ni: 0.3648 0.3982 0.5563
Ni: 0.1352 0.6018 0.0563
Ni: 0.6352 0.8982 0.9437
Ni: 0.3212 0.1336 0.2344
Ni: 0.8212 0.3664 0.7655
Ni: 0.6788 0.6336 0.2656
Ni: 0.1788 0.8664 0.7345
B: 0.4006 0.8997 0.4774
B: 0.9006 0.6003 0.5226
B: 0.5994 0.3997 0.0226
B: 0.0993 0.1003 0.9774
B: 0.1646 0.6493 0.3329
B: 0.6646 0.8507 0.6671
B: 0.8354 0.1493 0.1671
B: 0.3354 0.3507 0.8329

Record 4
Compound: VPbSCl2
Source: Alexandria
Functional: PBE
Structure: optimized geometry

Output
final energy	-23.82	eV/cell
raw formation energy	-0.63	eV/atom

a b c (Å): 4.9340 4.9340 5.1742
angles (deg): 90.00 90.00 90.00
Atoms (fractional coordinates):
Pb: 0.5000 0.5000 0.5000
S: 0.0000 0.0000 0.5000
Cl: 0.0000 0.5000 0.0000
Cl: 0.5000 0.0000 0.0000
V: 0.0000 0.0000 0.0000

Record 5
Compound: CuSiSe2
Source: Alexandria
Functional: PBE
Structure: optimized geometry

Output
final energy	-16.51	eV/cell
raw formation energy	-0.01	eV/atom

a b c (Å): 7.6336 7.6336 7.6336
angles (deg): 28.34 28.34 28.34
Atoms (fractional coordinates):
Si: 0.5000 0.5000 0.5000
Cu: 0.0000 0.0000 0.0000
Se: 0.8968 0.8968 0.8968
Se: 0.1032 0.1032 0.1032

Record 6
Compound: ZnGeO3
Source: Alexandria
Functional: PBE
Structure: optimized geometry

Output
final energy	-25.68	eV/cell
raw formation energy	-0.98	eV/atom

a b c (Å): 3.6838 3.6838 3.6838
angles (deg): 90.00 90.00 90.00
Atoms (fractional coordinates):
Ge: 0.0000 0.0000 0.0000
Zn: 0.5000 0.5000 0.5000
O: 0.0000 0.5000 0.0000
O: 0.0000 0.0000 0.5000
O: 0.5000 0.0000 0.0000

Record 7
Compound: Pa2TcAs2N2
Source: Alexandria
Functional: PBE
Structure: optimized geometry

Output
final energy	-62.82	eV/cell
raw formation energy	-1.07	eV/atom

a b c (Å): 3.9526 6.0131 5.9948
angles (deg): 66.68 70.75 70.81
Atoms (fractional coordinates):
Pa: 0.2059 0.3278 0.2605
Pa: 0.7941 0.6722 0.7395
Tc: 0.0000 0.0000 0.0000
As: 0.5526 0.1969 0.6980
As: 0.4474 0.8031 0.3020
N: 0.2132 0.6626 0.9110
N: 0.7868 0.3374 0.0890

Record 8
Compound: LiCl3F
Source: Alexandria
Functional: PBE
Structure: optimized geometry

Output
final energy	-10.23	eV/cell
raw formation energy	-0.18	eV/atom

a b c (Å): 4.7506 4.7506 4.7506
angles (deg): 90.00 90.00 90.00
Atoms (fractional coordinates):
F: 0.5000 0.5000 0.5000
Li: 0.0000 0.0000 0.0000
Cl: 0.0000 0.5000 0.0000
Cl: 0.0000 0.0000 0.5000
Cl: 0.5000 0.0000 0.0000

Record 9
Compound: PaNi4P
Source: Alexandria
Functional: PBE
Structure: optimized geometry

Output
ΔE_f	-0.528	eV/atom
final energy	-82.40	eV/cell

a b c (Å): 3.6734 6.3720 6.9626
angles (deg): 90.00 90.00 90.00
Atoms (fractional coordinates):
Pa: 0.0000 0.6355 0.7500
Pa: 0.0000 0.3645 0.2500
Ni: 0.0000 0.0000 0.5000
Ni: 0.0000 0.0000 0.0000
Ni: 0.5000 0.9599 0.7500
Ni: 0.5000 0.0401 0.2500
Ni: 0.5000 0.6920 0.0507
Ni: 0.5000 0.3080 0.9493
Ni: 0.5000 0.6920 0.4493
Ni: 0.5000 0.3080 0.5507
P: 0.0000 0.2092 0.7500
P: 0.0000 0.7908 0.2500

Record 10
Compound: SmErAs
Source: Alexandria
Functional: PBE
Structure: optimized geometry

Output
ΔE_f	-0.853	eV/atom
final energy	-32.98	eV/cell

a b c (Å): 4.2888 4.2888 8.2224
angles (deg): 90.00 90.00 90.00
Atoms (fractional coordinates):
Er: 0.3364 0.8364 0.8601
Er: 0.8364 0.3364 0.1399
As: 0.3364 0.8364 0.2119
As: 0.8364 0.3364 0.7881
Sm: 0.8366 0.8366 0.5000
Sm: 0.3366 0.3366 0.5000

Record 11
Compound: Cd2AgPb
Source: Alexandria
Functional: PBE
Structure: optimized geometry

Output
ΔE_f	0.103	eV/atom
final energy	-7.98	eV/cell

a b c (Å): 5.1300 5.1300 5.1300
angles (deg): 60.00 60.00 60.00
Atoms (fractional coordinates):
Pb: 0.7500 0.7500 0.7500
Ag: 0.5000 0.5000 0.5000
Cd: 0.0000 0.0000 0.0000
Cd: 0.2500 0.2500 0.2500

Record 12
Compound: AlPtPb2
Source: Alexandria
Functional: PBE
Structure: optimized geometry

Output
ΔE_f	0.100	eV/atom
final energy	-16.80	eV/cell

a b c (Å): 4.1494 4.1494 7.3847
angles (deg): 75.59 75.59 55.30
Atoms (fractional coordinates):
Pb: 0.0088 0.0088 0.9717
Pb: 0.4912 0.4912 0.5283
Al: 0.2500 0.2500 0.2500
Pt: 0.7500 0.7500 0.7500